(1)
This record from Alexandria via LeMat-Bulk describes Nd3ErP4 after structural relaxation. The functional is PBE-GGA.

Computed properties:
Spin magnetization = 0.00 μB per cell
ΔH_f (0 K) = -1.5440 eV/atom
Calculated total energy = -6.61 eV/atom

```
data_Nd3ErP4
_space_group_name_H-M_alt 'C m m m'
_space_group_IT_number 65
_space_group_name_Hall '-C 2 2'
_cell_length_a 8.239
_cell_length_b 11.647
_cell_length_c 4.122
_cell_angle_alpha 90.00
_cell_angle_beta 90.00
_cell_angle_gamma 90.00
loop_
_atom_site_label
_atom_site_type_symbol
_atom_site_fract_x
_atom_site_fract_y
_atom_site_fract_z
Nd1 Nd 0.000 0.000 0.000
Nd2 Nd 0.250 0.250 0.500
Er1 Er 0.000 0.500 0.000
P1 P 0.000 0.254 0.000
P2 P 0.242 0.500 0.500
```

(2)
This record from Alexandria via LeMat-Bulk describes Pr2NiI2 after structural relaxation. The functional is PBE-GGA.

Computed properties:
Formation energy without anion corrections = -0.867 eV per atom
Spin magnetization = 0.00 μB per cell
Calculated total energy = -4.56 eV/atom

```
data_Pr2NiI2
_space_group_name_H-M_alt 'R -3 m'
_space_group_IT_number 166
_space_group_name_Hall '-R 3 2"'
_cell_length_a 4.1724
_cell_length_b 4.1724
_cell_length_c 35.5090
_cell_angle_alpha 90.00
_cell_angle_beta 90.00
_cell_angle_gamma 120.00
loop_
_atom_site_label
_atom_site_type_symbol
_atom_site_fract_x
_atom_site_fract_y
_atom_site_fract_z
Pr1 Pr 0.0000 0.0000 0.1211
Ni1 Ni 0.0000 0.0000 0.5000
I1 I 0.0000 0.0000 0.2751
```

(3)
This record from Alexandria via LeMat-Bulk describes SrAlRuO6 after structural relaxation. The functional is PBE-GGA.

Computed properties:
Formation energy without anion corrections = -1.841 eV per atom
Spin magnetization = 0.98 μB per cell
Calculated total energy = -6.78 eV/atom

```
data_SrAlRuO6
_space_group_name_H-M_alt 'P 3 1 2'
_space_group_IT_number 149
_cell_length_a 5.0846
_cell_length_b 5.0846
_cell_length_c 5.4183
_cell_angle_alpha 90.00
_cell_angle_beta 90.00
_cell_angle_gamma 120.00
loop_
_space_group_symop_operation_xyz
'x,y,z'
'-y,x-y,z'
'-x+y,-x,z'
'-y,-x,-z'
'-x+y,y,-z'
'x,x-y,-z'
loop_
_atom_site_label
_atom_site_type_symbol
_atom_site_fract_x
_atom_site_fract_y
_atom_site_fract_z
Sr1 Sr 0.0000 0.0000 0.0000
Al1 Al 0.3333 0.6667 0.5000
Ru1 Ru 0.6667 0.3333 0.5000
O1 O 0.0004 0.3845 0.6969
```

(4)
This record from Alexandria via LeMat-Bulk describes Al2CrAg2 after structural relaxation. The functional is PBE-GGA.

Computed properties:
Spin magnetization = 0.00 μB per cell
ΔH_f (0 K) = 0.3784 eV/atom
Calculated total energy = -4.18 eV/atom

```
data_Al2CrAg2
_space_group_name_H-M_alt 'P 4/m b m'
_space_group_IT_number 127
_space_group_name_Hall '-P 4 2ab'
_cell_length_a 7.547
_cell_length_b 7.547
_cell_length_c 2.817
_cell_angle_alpha 90.00
_cell_angle_beta 90.00
_cell_angle_gamma 90.00
loop_
_atom_site_label
_atom_site_type_symbol
_atom_site_fract_x
_atom_site_fract_y
_atom_site_fract_z
Al1 Al 0.173 0.327 0.000
Cr1 Cr 0.000 0.000 0.500
Ag1 Ag 0.129 0.629 0.500
```

(5)
This record from Alexandria via LeMat-Bulk describes YFe2Si after structural relaxation. The functional is PBE-GGA.

Computed properties:
Formation energy without anion corrections = -0.376 eV per atom
Spin magnetization = 5.47 μB per cell
Calculated total energy = -7.58 eV/atom

```
data_YFe2Si
_space_group_name_H-M_alt 'C 1 2/m 1'
_space_group_IT_number 12
_cell_length_a 6.990
_cell_length_b 4.035
_cell_length_c 5.401
_cell_angle_alpha 90.00
_cell_angle_beta 115.45
_cell_angle_gamma 90.00
loop_
_space_group_symop_operation_xyz
'x,y,z'
'-x,-y,-z'
'-x,y,-z'
'x,-y,z'
'x+1/2,y+1/2,z'
'-x+1/2,-y+1/2,-z'
'-x+1/2,y+1/2,-z'
'x+1/2,-y+1/2,z'
loop_
_atom_site_label
_atom_site_type_symbol
_atom_site_fract_x
_atom_site_fract_y
_atom_site_fract_z
Y1 Y 0.000 0.000 0.000
Fe1 Fe 0.187 0.000 0.560
Si1 Si 0.000 0.500 0.500
```

(6)
This record from Alexandria via LeMat-Bulk describes HfTe2PdAu after structural relaxation. The functional is PBE-GGA.

Computed properties:
Formation energy without anion corrections = 0.863 eV per atom
Spin magnetization = 0.00 μB per cell
Calculated total energy = -4.08 eV/atom

```
data_HfTe2PdAu
_space_group_name_H-M_alt 'P 4/m m m'
_space_group_IT_number 123
_space_group_name_Hall '-P 4 2'
_cell_length_a 5.342
_cell_length_b 5.342
_cell_length_c 5.176
_cell_angle_alpha 90.00
_cell_angle_beta 90.00
_cell_angle_gamma 90.00
loop_
_atom_site_label
_atom_site_type_symbol
_atom_site_fract_x
_atom_site_fract_y
_atom_site_fract_z
Hf1 Hf 0.000 0.000 0.000
Te1 Te 0.000 0.500 0.500
Pd1 Pd 0.500 0.500 0.000
Au1 Au 0.000 0.000 0.500
```

(7)
This record from Alexandria via LeMat-Bulk describes BeCr3Ir after structural relaxation. The functional is PBE-GGA.

Computed properties:
Spin magnetization = 9.76 μB per cell
ΔH_f (0 K) = 1.5241 eV/atom
Distance to the lowest polymorph of the same formula = 0.889 eV per atom
Calculated total energy = -6.77 eV/atom

```
data_BeCr3Ir
_space_group_name_H-M_alt 'P m -3 m'
_space_group_IT_number 221
_space_group_name_Hall '-P 4 2 3'
_cell_length_a 4.702
_cell_length_b 4.702
_cell_length_c 4.702
_cell_angle_alpha 90.00
_cell_angle_beta 90.00
_cell_angle_gamma 90.00
loop_
_atom_site_label
_atom_site_type_symbol
_atom_site_fract_x
_atom_site_fract_y
_atom_site_fract_z
Be1 Be 0.000 0.000 0.000
Cr1 Cr 0.000 0.500 0.500
Ir1 Ir 0.500 0.500 0.500
```

(8)
This record from Alexandria via LeMat-Bulk describes ErHf2In after structural relaxation. The functional is PBE-GGA.

Computed properties:
Spin magnetization = 0.00 μB per cell
ΔH_f (0 K) = 0.2879 eV/atom
Distance to the lowest polymorph of the same formula = 0.384 eV per atom
Calculated total energy = -6.51 eV/atom

```
data_ErHf2In
_space_group_name_H-M_alt 'R -3 m'
_space_group_IT_number 166
_space_group_name_Hall '-R 3 2"'
_cell_length_a 3.1372
_cell_length_b 3.1372
_cell_length_c 34.6366
_cell_angle_alpha 90.00
_cell_angle_beta 90.00
_cell_angle_gamma 120.00
loop_
_atom_site_label
_atom_site_type_symbol
_atom_site_fract_x
_atom_site_fract_y
_atom_site_fract_z
Er1 Er 0.0000 0.0000 0.0000
Hf1 Hf 0.0000 0.0000 0.0917
In1 In 0.0000 0.0000 0.5000
```

(9)
This record from Alexandria via LeMat-Bulk describes Tb4TlZn3 after structural relaxation. The functional is PBE-GGA.

Computed properties:
Spin magnetization = 0.00 μB per cell
ΔH_f (0 K) = -0.2861 eV/atom
Distance to the lowest polymorph of the same formula = 0.038 eV per atom
Calculated total energy = -3.37 eV/atom

```
data_Tb4TlZn3
_space_group_name_H-M_alt 'P m m 2'
_space_group_IT_number 25
_cell_length_a 3.737
_cell_length_b 4.602
_cell_length_c 11.584
_cell_angle_alpha 90.00
_cell_angle_beta 90.00
_cell_angle_gamma 90.00
loop_
_space_group_symop_operation_xyz
'x,y,z'
'-x,-y,z'
'-x,y,z'
'x,-y,z'
loop_
_atom_site_label
_atom_site_type_symbol
_atom_site_fract_x
_atom_site_fract_y
_atom_site_fract_z
Tb1 Tb 0.000 0.000 0.000
Tb2 Tb 0.000 0.500 0.289
Tb3 Tb 0.500 0.000 0.478
Tb4 Tb 0.500 0.500 0.803
Tl1 Tl 0.000 0.000 0.713
Zn1 Zn 0.000 0.500 0.560
Zn2 Zn 0.500 0.000 0.211
Zn3 Zn 0.500 0.500 0.073
```

The highest spin magnetization belongs to which entry?
BeCr3Ir

Which value of spin magnetization does entry 5 give?
5.47 μB per cell

Which formula does entry 4 have?
Al2CrAg2